# Ca3La3B5O15, single point on PBEsol structure, DFT meta-GGA SCAN
data_Ca3La3B5O15
_chemical_formula_sum 'Ca6 La6 B10 O30'
_cell_length_a 10.476
_cell_length_b 10.476
_cell_length_c 6.341
_cell_angle_alpha 90.00
_cell_angle_beta 90.00
_cell_angle_gamma 120.00
_space_group_name_H-M_alt 'P 1'
_space_group_IT_number 1
loop_
_space_group_symop_operation_xyz
'x,y,z'
loop_
_atom_site_label
_atom_site_type_symbol
_atom_site_fract_x
_atom_site_fract_y
_atom_site_fract_z
Ca1 Ca 0.054 0.527 0.000
Ca2 Ca 0.473 0.527 0.000
Ca3 Ca 0.473 0.946 0.000
Ca4 Ca 0.527 0.054 0.500
Ca5 Ca 0.527 0.473 0.500
Ca6 Ca 0.946 0.473 0.500
La1 La 0.156 0.313 0.320
La2 La 0.156 0.844 0.320
La3 La 0.313 0.156 0.820
La4 La 0.687 0.844 0.320
La5 La 0.844 0.156 0.820
La6 La 0.844 0.687 0.820
B1 B 0.000 0.000 0.482
B2 B 0.000 0.000 0.982
B3 B 0.198 0.395 0.787
B4 B 0.198 0.802 0.787
B5 B 0.333 0.667 0.336
B6 B 0.395 0.198 0.287
B7 B 0.605 0.802 0.787
B8 B 0.667 0.333 0.836
B9 B 0.802 0.198 0.287
B10 B 0.802 0.605 0.287
O1 O 0.071 0.372 0.684
O2 O 0.071 0.699 0.684
O3 O 0.076 0.152 0.976
O4 O 0.076 0.924 0.976
O5 O 0.152 0.076 0.476
O6 O 0.180 0.590 0.336
O7 O 0.226 0.453 0.987
O8 O 0.226 0.774 0.987
O9 O 0.301 0.372 0.684
O10 O 0.301 0.929 0.684
O11 O 0.372 0.071 0.184
O12 O 0.372 0.301 0.184
O13 O 0.410 0.590 0.336
O14 O 0.410 0.820 0.336
O15 O 0.453 0.226 0.487
O16 O 0.547 0.774 0.987
O17 O 0.590 0.180 0.836
O18 O 0.590 0.410 0.836
O19 O 0.628 0.699 0.684
O20 O 0.628 0.929 0.684
O21 O 0.699 0.071 0.184
O22 O 0.699 0.628 0.184
O23 O 0.774 0.226 0.487
O24 O 0.774 0.547 0.487
O25 O 0.820 0.410 0.836
O26 O 0.848 0.924 0.976
O27 O 0.924 0.076 0.476
O28 O 0.924 0.848 0.476
O29 O 0.929 0.301 0.184
O30 O 0.929 0.628 0.184
# - Space-group type: No. 186
# - Final energy: -14.426 eV per atom
# - Magnetic moment: 0.0 μB per formula unit
# - Energy relative to the elements, uncorrected: -3.313 eV/atom
# - Fermi-level density of states: 0.0000 states/eV/atom